Density functional theory data (GGA+U) for an optimized crystal structure of LiTl2VO4.

Lattice parameters (Å, degrees): 11.5087 10.1991 6.3777 84.60 61.92 33.48
Sites, in units of the cell vectors:
Li 0.1250 0.1250 0.1250
Li 0.8750 0.8750 0.8750
Tl 0.0464 0.0464 0.7036
Tl 0.2964 0.2964 0.9536
Tl 0.7036 0.7036 0.0464
Tl 0.9536 0.9536 0.2964
V 0.3750 0.3750 0.3750
V 0.6250 0.6250 0.6250
O 0.0230 0.6315 0.5586
O 0.2869 0.5586 0.6315
O 0.3685 0.9770 0.7131
O 0.4414 0.7131 0.9770
O 0.5586 0.2869 0.0230
O 0.6315 0.0230 0.2869
O 0.7131 0.4414 0.3685
O 0.9770 0.3685 0.4414

DFT total energy = -91.46 eV for the cell shown